## RbBa2SbH (PBE-GGA)

Data for crystalline RbBa2SbH at its relaxed geometry.

a = 5.627 Å, b = 5.627 Å, c = 5.369 Å
α = 90.00°, β = 90.00°, γ = 90.00°
Fractional positions:
Rb: 0.000 0.000 0.000
Ba: 0.000 0.500 0.500
Ba: 0.500 0.000 0.500
Sb: 0.500 0.500 0.000
H: 0.000 0.000 0.500

Results
space-group type: No. 123
VASP energy: -14.7 eV for the cell shown
V: 170 Å³/f.u.

=====

## RbBa2SrH (PBE-GGA)

Data for crystalline RbBa2SrH at its relaxed geometry.

a = 6.429 Å, b = 6.429 Å, c = 5.755 Å
α = 90.00°, β = 90.00°, γ = 90.00°
Fractional positions:
Rb: 0.000 0.000 0.000
Ba: 0.000 0.500 0.500
Ba: 0.500 0.000 0.500
Sr: 0.500 0.500 0.000
H: 0.500 0.500 0.500

Results
space-group type: No. 123
excess energy over the best structure of this formula in the dataset: 0.135 eV/f.u.
V: 238 Å³/f.u.

=====

## RbBa2SrH (PBE-GGA)

Data for crystalline RbBa2SrH at its relaxed geometry.

a = 6.047 Å, b = 6.047 Å, c = 6.590 Å
α = 90.00°, β = 90.00°, γ = 90.00°
Fractional positions:
Rb: 0.000 0.000 0.000
Ba: 0.000 0.500 0.500
Ba: 0.500 0.000 0.500
Sr: 0.500 0.500 0.000
H: 0.000 0.000 0.500

Results
space-group type: No. 123
excess energy over the best structure of this formula in the dataset: 0.000 eV/f.u.
V: 241 Å³/f.u.

=====

## Rb2BaTlH (PBE-GGA)

Data for crystalline Rb2BaTlH at its relaxed geometry.

a = 5.789 Å, b = 5.789 Å, c = 5.765 Å
α = 90.00°, β = 90.00°, γ = 90.00°
Fractional positions:
Rb: 0.000 0.500 0.000
Rb: 0.500 0.000 0.000
Ba: 0.000 0.000 0.500
Tl: 0.500 0.500 0.500
H: 0.000 0.000 0.000

Results
space-group type: No. 123
VASP energy: -10.0 eV for the cell shown
V: 193 Å³/f.u.

=====

## Rb2BaVH6 (PBE-GGA)

Data for crystalline Rb2BaVH6 at its relaxed geometry.

a = 6.268 Å, b = 8.866 Å, c = 6.270 Å
α = 90.00°, β = 90.00°, γ = 90.00°
Fractional positions:
Rb: 0.250 0.000 0.249
Rb: 0.250 0.500 0.249
Rb: 0.750 0.000 0.751
Rb: 0.750 0.500 0.751
Ba: 0.250 0.250 0.749
Ba: 0.750 0.750 0.251
V: 0.250 0.750 0.751
V: 0.750 0.250 0.249
H: 0.039 0.750 0.960
H: 0.040 0.750 0.540
H: 0.250 0.540 0.751
H: 0.250 0.960 0.751
H: 0.460 0.750 0.540
H: 0.461 0.750 0.960
H: 0.539 0.250 0.040
H: 0.540 0.250 0.460
H: 0.750 0.040 0.249
H: 0.750 0.460 0.249
H: 0.960 0.250 0.460
H: 0.961 0.250 0.040

Results
space-group type: No. 59
VASP energy: -69.8 eV for the cell shown
V: 174 Å³/f.u.

=====

## RbBaZn2H6 (PBE-GGA)

Data for crystalline RbBaZn2H6 at its relaxed geometry.

a = 7.244 Å, b = 7.244 Å, c = 7.846 Å
α = 105.69°, β = 105.69°, γ = 99.62°
Fractional positions:
Rb: 0.143 0.857 0.750
Rb: 0.857 0.143 0.250
Ba: 0.388 0.612 0.250
Ba: 0.612 0.388 0.750
Zn: 0.145 0.366 0.742
Zn: 0.366 0.145 0.242
Zn: 0.634 0.855 0.758
Zn: 0.855 0.634 0.258
H: 0.062 0.584 0.341
H: 0.188 0.213 0.118
H: 0.213 0.188 0.618
H: 0.337 0.549 0.889
H: 0.416 0.938 0.159
H: 0.451 0.663 0.611
H: 0.549 0.337 0.389
H: 0.584 0.062 0.841
H: 0.663 0.451 0.111
H: 0.787 0.812 0.382
H: 0.812 0.787 0.882
H: 0.938 0.416 0.659

Results
space-group type: No. 15
VASP energy: -54.0 eV for the cell shown
V: 184 Å³/f.u.

=====

## Ba2ReH (PBE-GGA)

Data for crystalline Ba2ReH at its relaxed geometry.

a = 6.751 Å, b = 6.751 Å, c = 6.751 Å
α = 112.22°, β = 112.22°, γ = 104.11°
Fractional positions:
Ba: 0.063 0.625 0.938
Ba: 0.375 0.313 0.438
Ba: 0.687 0.125 0.062
Ba: 0.875 0.937 0.562
Re: 0.250 0.750 0.500
Re: 0.500 0.500 0.000
H: 0.000 0.000 0.000
H: 0.750 0.250 0.500

Results
space-group type: No. 122
excess energy over the best structure of this formula in the dataset: 0.000 eV/f.u.
V: 118 Å³/f.u.

=====

## BaRe2H (PBE-GGA)

Data for crystalline BaRe2H at its relaxed geometry.

a = 4.584 Å, b = 4.584 Å, c = 4.584 Å
α = 60.00°, β = 60.00°, γ = 60.00°
Fractional positions:
Ba: 0.000 0.000 0.000
Re: 0.250 0.250 0.250
Re: 0.750 0.750 0.750
H: 0.500 0.500 0.500

Results
space-group type: No. 225
excess energy over the best structure of this formula in the dataset: 6.995 eV/f.u.
V: 68 Å³/f.u.

=====

## BaReH3 (PBE-GGA)

Data for crystalline BaReH3 at its relaxed geometry.

a = 4.373 Å, b = 4.373 Å, c = 4.373 Å
α = 90.00°, β = 90.00°, γ = 90.00°
Fractional positions:
Ba: 0.000 0.000 0.000
Re: 0.500 0.500 0.500
H: 0.000 0.000 0.500
H: 0.000 0.500 0.000
H: 0.500 0.000 0.000

Results
space-group type: No. 221
excess energy over the best structure of this formula in the dataset: 8.847 eV/f.u.
V: 84 Å³/f.u.

=====

## BaRe2H2 (PBE-GGA)

Data for crystalline BaRe2H2 at its relaxed geometry.

a = 5.156 Å, b = 5.156 Å, c = 5.156 Å
α = 130.58°, β = 130.58°, γ = 72.48°
Fractional positions:
Ba: 0.000 0.000 0.000
Re: 0.363 0.363 0.000
Re: 0.637 0.637 0.000
H: 0.250 0.750 0.500
H: 0.750 0.250 0.500

Results
space-group type: No. 139
excess energy over the best structure of this formula in the dataset: 0.017 eV/f.u.
V: 77 Å³/f.u.

=====

The highest V belongs to which entry? number 3

=====

The highest V belongs to which entry? number 3